No. 1
# Ce2HoC

A relaxed structure of Ce2HoC (PBE, Alexandria).

Calculated values
**Formation energy**: 0.839 eV/atom

a = 3.7684 Å, b = 3.7684 Å, c = 28.9473 Å
α = 90.00°, β = 90.00°, γ = 120.00°
Space group R-3m (No. 166, hexagonal axes)
Inequivalent atoms, fractional coordinates:
Ce 0.0000 0.0000 0.0700 x6
Ho 0.0000 0.0000 0.5000 x3
C 0.0000 0.0000 0.0000 x3

***

No. 2
# MgRh3C

A relaxed structure of MgRh3C (PBE, Alexandria).

Calculated values
**Formation energy**: 0.018 eV/atom

a = 9.5370 Å, b = 11.4197 Å, c = 5.0448 Å
α = 90.00°, β = 91.43°, γ = 90.00°
Space group C2/c (No. 15)
Inequivalent atoms, fractional coordinates:
Mg 0.1359 0.0706 0.0763 x8
Rh 0.1237 0.3089 0.0880 x8
Rh 0.1264 0.4340 0.5858 x8
Rh 0.1289 0.1825 0.5850 x8
C 0.0000 0.2930 0.7500 x4
C 0.0000 0.4316 0.2500 x4

***

No. 3
# BaPuTe2

A relaxed structure of BaPuTe2 (PBE, Alexandria).

Calculated values
**Raw formation energy**: -1.325 eV per atom

a = 4.6043 Å, b = 4.6043 Å, c = 24.4026 Å
α = 90.00°, β = 90.00°, γ = 120.00°
Space group R3m (No. 160, hexagonal axes)
Inequivalent atoms, fractional coordinates:
Ba 0.0000 0.0000 0.0000 x3
Pu 0.0000 0.0000 0.8291 x3
Te 0.0000 0.0000 0.2373 x3
Te 0.0000 0.0000 0.4244 x3

***

No. 4
# TbMg15Sc4

A relaxed structure of TbMg15Sc4 (PBE, Alexandria).

Calculated values
**Formation energy**: -0.045 eV/atom

a = 4.5920 Å, b = 4.5920 Å, c = 22.2450 Å
α = 90.00°, β = 90.00°, γ = 90.00°
Space group P4/mmm (No. 123)
Inequivalent atoms, fractional coordinates:
Tb 0.0000 0.0000 0.0000 x1
Mg 0.0000 0.5000 0.1065 x4
Mg 0.0000 0.5000 0.3040 x4
Mg 0.0000 0.5000 0.5000 x2
Mg 0.5000 0.5000 0.0000 x1
Mg 0.5000 0.5000 0.2062 x2
Mg 0.5000 0.5000 0.4020 x2
Sc 0.0000 0.0000 0.2058 x2
Sc 0.0000 0.0000 0.4024 x2

***

No. 5
# Sr3Ca5Zn2

A relaxed structure of Sr3Ca5Zn2 (PBE, Alexandria).

Calculated values
**Formation energy**: -0.063 eV/atom

a = 13.3112 Å, b = 13.3112 Å, c = 4.4992 Å
α = 90.00°, β = 90.00°, γ = 90.00°
Space group P4/mbm (No. 127)
Inequivalent atoms, fractional coordinates:
Sr 0.0000 0.0000 0.0000 x2
Sr 0.1769 0.3231 0.0000 x4
Ca 0.0000 0.5000 0.5000 x2
Ca 0.0693 0.7743 0.5000 x8
Zn 0.1182 0.6182 0.0000 x4

***

No. 6
# Mg2TlTe

A relaxed structure of Mg2TlTe (PBE, Alexandria).

Calculated values
**Raw formation energy**: -0.227 eV per atom

a = 3.8332 Å, b = 3.8361 Å, c = 6.9700 Å
α = 90.00°, β = 93.75°, γ = 90.00°
Space group P2/m (No. 10)
Inequivalent atoms, fractional coordinates:
Mg 0.0023 0.0000 0.2339 x2
Tl 0.5000 0.5000 0.5000 x1
Te 0.5000 0.5000 0.0000 x1

***

No. 7
# ErTh3N4

A relaxed structure of ErTh3N4 (PBE, Alexandria).

Calculated values
**Raw formation energy**: -1.586 eV per atom

a = 5.1115 Å, b = 5.1115 Å, c = 5.1115 Å
α = 90.00°, β = 90.00°, γ = 90.00°
Space group Pm-3m (No. 221)
Inequivalent atoms, fractional coordinates:
Er 0.0000 0.0000 0.0000 x1
Th 0.0000 0.5000 0.5000 x3
N 0.0000 0.0000 0.5000 x3
N 0.5000 0.5000 0.5000 x1

***

No. 8
# LaTa

A relaxed structure of LaTa (PBE, Alexandria).

Calculated values
**Formation energy**: 0.568 eV/atom

a = 9.2588 Å, b = 3.8151 Å, c = 6.3348 Å
α = 90.00°, β = 90.00°, γ = 90.00°
Space group Pnma (No. 62)
Inequivalent atoms, fractional coordinates:
La 0.1876 0.2500 0.1276 x4
Ta 0.0387 0.2500 0.6307 x4